No. 1
The following is a GGA-PBE calculation of CsCdTeN2 after structural relaxation, from the Alexandria database.

Output
For the raw formation energy, the calculation gives 2.0077 eV per atom. As for the space group: P4/mmm. As for the density: 4204 kg/m³.

```
5
Lattice="4.4792 0.0000 0.0000 0.0000 4.4792 0.0000 0.0000 0.0000 7.8933" Properties=species:S:1:pos:R:3 pbc="T T T"
Cs 0.0000 0.0000 0.0000
Cd 2.2396 2.2396 3.9467
Te 0.0000 0.0000 3.9467
N 0.0000 2.2396 0.0000
N 2.2396 0.0000 0.0000
```

---

No. 2
The following is a GGA-PBE calculation of CsNa2Cd8 after structural relaxation, from the Alexandria database.

Output
As for the space group: Cmmm. The value obtained for the energy of formation is -39 meV/atom. As for the density: 5590 kg/m³.

```
11
Lattice="3.1610 -3.1750 0.0000 3.1610 3.1750 0.0000 0.0000 0.0000 15.9558" Properties=species:S:1:pos:R:3 pbc="T T T"
Cs 0.0000 0.0000 0.0000
Na 0.0000 0.0000 5.6253
Na 0.0000 0.0000 10.3305
Cd 1.5805 1.5875 3.2905
Cd 1.5805 1.5875 7.9779
Cd 1.5805 1.5875 12.6653
Cd 1.5805 -1.5875 3.2905
Cd 1.5805 -1.5875 7.9779
Cd 1.5805 -1.5875 12.6653
Cd 3.1610 0.0000 5.6989
Cd 3.1610 0.0000 10.2568
```

---

No. 3
The following is a GGA-PBE calculation of CsNa9Cd3 after structural relaxation, from the Alexandria database.

Output
As for the space group: C2/m. The value obtained for the energy of formation is -34 meV/atom. As for the density: 2485 kg/m³.

```
13
Lattice="3.2082 -8.5272 0.0000 3.2082 8.5272 0.0000 -3.1548 0.0000 8.2689" Properties=species:S:1:pos:R:3 pbc="T T T"
Cs 0.0000 0.0000 0.0000
Na -1.5774 0.0000 4.1344
Na 0.0068 5.4548 5.4355
Na 0.1153 1.9760 6.4385
Na 3.2548 5.4548 2.8334
Na 3.1463 1.9760 1.8303
Na 0.1153 -1.9760 6.4385
Na 0.0068 -5.4548 5.4355
Na 3.1463 -1.9760 1.8303
Na 3.2548 -5.4548 2.8334
Cd 1.6041 4.2636 0.0000
Cd 1.6041 -4.2636 0.0000
Cd 1.6308 0.0000 4.1344
```

---

- The lowest density belongs to which entry?
  CsNa9Cd3

---

- Which formula does entry 1 have?
  CsCdTeN2

---

- Look up the density of the first one.
  4204 kg/m³

---

Repeat the first record exactly.
The following is a GGA-PBE calculation of CsCdTeN2 after structural relaxation, from the Alexandria database.

Output
For the raw formation energy, the calculation gives 2.0077 eV per atom. As for the space group: P4/mmm. As for the density: 4204 kg/m³.

```
5
Lattice="4.4792 0.0000 0.0000 0.0000 4.4792 0.0000 0.0000 0.0000 7.8933" Properties=species:S:1:pos:R:3 pbc="T T T"
Cs 0.0000 0.0000 0.0000
Cd 2.2396 2.2396 3.9467
Te 0.0000 0.0000 3.9467
N 0.0000 2.2396 0.0000
N 2.2396 0.0000 0.0000
```